Record 1
Below is an optimized crystal structure of LiBr2F8, with properties calculated at the PBE level.

The structure in POSCAR format:
```
LiBr2F8
1.0
5.613 0.000 0.000
0.000 5.643 0.000
0.000 -2.821 4.887
Li Br F
1 2 8
Direct
0.500 0.000 0.000 Li
0.938 0.667 0.333 Br
0.062 0.333 0.667 Br
0.732 0.333 0.667 F
0.268 0.667 0.333 F
0.281 0.174 0.348 F
0.719 0.826 0.652 F
0.719 0.348 0.174 F
0.281 0.652 0.826 F
0.281 0.174 0.826 F
0.719 0.826 0.174 F
```

Values from the calculation:
Size of the total moment = 0.0 Bohr magnetons per cell
Space-group type = P-3m1, No. 164
Fermi-level density of states = 0.610 states/eV per atom
Volume = 154.77 Å³/cell
Energy relative to the elements, uncorrected = -0.8664 eV per atom

Record 2
Below is an optimized crystal structure of Ce2GeOs, with properties calculated at the PBE level.

The structure in POSCAR format:
```
Ce2GeOs
1.0
-1.727 1.784 -2.086
-2.729 -0.851 1.531
0.750 6.531 4.965
Ge Os Ce
1 1 2
Direct
0.500 0.500 0.500 Ge
0.500 0.500 0.000 Os
0.000 0.000 0.773 Ce
0.000 0.000 0.227 Ce
```

Values from the calculation:
Size of the total moment = 0.0 Bohr magnetons per cell
Space-group type = P4/mmm, No. 123
Energy of formation = -385 meV/atom
Fermi-level density of states = 1.226 states/eV per atom
Volume = 86.62 Å³/cell

Record 3
Below is an optimized crystal structure of Sn2BiPAu, with properties calculated at the PBE level.

The structure in POSCAR format:
```
Sn2BiPAu
1.0
-4.239 1.669 2.636
-3.016 -4.242 -2.164
1.343 -3.037 4.083
P Au Bi Sn
1 1 1 2
Direct
0.500 0.500 0.500 P
0.000 0.000 0.000 Au
0.000 0.500 0.000 Bi
0.000 0.000 0.500 Sn
0.500 0.000 0.000 Sn
```

Values from the calculation:
Size of the total moment = 0.0 Bohr magnetons per cell
Space-group type = P4/mmm, No. 123
Energy of formation = 680 meV/atom
Fermi-level density of states = 0.590 states/eV per atom
Volume = 156.14 Å³/cell

Record 4
Below is an optimized crystal structure of TiGe3P, with properties calculated at the PBE level.

The structure in POSCAR format:
```
TiGe3P
1.0
4.706 0.000 0.000
0.000 4.706 0.000
0.000 0.000 4.706
P Ge Ti
1 3 1
Direct
0.000 0.000 0.000 P
0.000 0.500 0.000 Ge
0.000 0.000 0.500 Ge
0.500 0.000 0.000 Ge
0.500 0.500 0.500 Ti
```

Values from the calculation:
Size of the total moment = 0.0 Bohr magnetons per cell
Space-group type = Pm-3m, No. 221
Energy of formation = 764 meV/atom
Fermi-level density of states = 1.519 states/eV per atom
Volume = 104.22 Å³/cell

Record 5
Below is an optimized crystal structure of YPtSe2, with properties calculated at the PBE level.

The structure in POSCAR format:
```
YPtSe2
1.0
7.538 -0.029 -0.018
6.423 3.946 -0.018
6.423 1.802 3.510
Pt Se Y
1 2 1
Direct
0.735 0.735 0.735 Pt
0.042 0.042 0.042 Se
0.229 0.229 0.229 Se
0.494 0.494 0.494 Y
```

Values from the calculation:
Size of the total moment = 0.0 Bohr magnetons per cell
Space-group type = R3m, No. 160
Fermi-level density of states = 0.583 states/eV per atom
Volume = 105.56 Å³/cell
Energy relative to the elements, uncorrected = -1.0223 eV per atom

Record 6
Below is an optimized crystal structure of CaGdTlNi, with properties calculated at the PBE level.

The structure in POSCAR format:
```
CaGdTlNi
1.0
-0.963 -3.224 -3.931
3.321 -3.816 -1.090
-1.306 -4.917 0.947
Ni Tl Gd Ca
1 1 1 1
Direct
0.000 0.000 0.000 Ni
0.500 0.500 0.500 Tl
0.750 0.750 0.750 Gd
0.250 0.250 0.250 Ca
```

Values from the calculation:
Size of the total moment = 7.1 Bohr magnetons per cell
Space-group type = F-43m, No. 216
Energy of formation = -184 meV/atom
Fermi-level density of states = 0.666 states/eV per atom
Volume = 97.98 Å³/cell

Record 7
Below is an optimized crystal structure of LiYBe2, with properties calculated at the PBE level.

The structure in POSCAR format:
```
LiYBe2
1.0
0.000 3.184 3.184
3.184 0.000 3.184
3.184 3.184 0.000
Y Be Li
1 2 1
Direct
0.500 0.500 0.500 Y
0.250 0.250 0.250 Be
0.750 0.750 0.750 Be
0.000 0.000 0.000 Li
```

Values from the calculation:
Size of the total moment = 0.0 Bohr magnetons per cell
Space-group type = Fm-3m, No. 225
Energy of formation = 246 meV/atom
Fermi-level density of states = 0.430 states/eV per atom
Volume = 64.57 Å³/cell

Record 8
Below is an optimized crystal structure of LiCdIr2, with properties calculated at the PBE level.

The structure in POSCAR format:
```
LiCdIr2
1.0
-0.112 -0.605 3.763
-3.098 -2.177 -0.442
3.833 -8.917 0.612
Ir Li Cd
4 2 2
Direct
0.579 0.125 0.250 Ir
0.171 0.625 0.250 Ir
0.375 0.421 0.750 Ir
0.875 0.829 0.750 Ir
0.500 0.500 0.000 Li
0.250 0.750 0.500 Li
0.000 0.000 0.000 Cd
0.750 0.250 0.500 Cd
```

Values from the calculation:
Size of the total moment = 0.0 Bohr magnetons per cell
Space-group type = I-42d, No. 122
Energy of formation = 331 meV/atom
Fermi-level density of states = 0.874 states/eV per atom
Volume = 135.82 Å³/cell